# Tm2AlSiGe | Alexandria via LeMat-Bulk | GGA-PBE | optimized geometry
data_Tm2AlSiGe
_cell_length_a 7.135
_cell_length_b 4.020
_cell_length_c 7.637
_cell_angle_alpha 90.00
_cell_angle_beta 111.43
_cell_angle_gamma 90.00
_symmetry_space_group_name_H-M 'P 1 21/m 1'
_symmetry_Int_Tables_number 11
loop_
_symmetry_equiv_pos_as_xyz
'x,y,z'
'-x,-y,-z'
'-x,y+1/2,-z'
'x,-y+1/2,z'
loop_
_atom_site_label
_atom_site_fract_x
_atom_site_fract_y
_atom_site_fract_z
_atom_site_occupancy
Tm1 0.051 0.250 0.195 1
Tm2 0.369 0.750 0.594 1
Al1 0.348 0.250 0.956 1
Si1 0.338 0.750 0.183 1
Ge1 0.092 0.250 0.614 1
# Formation energy from raw total energies, eV per atom: -0.584